Computed, not measured: a relaxed U6Ir crystal at the PBE level of DFT.

Cell: 7.049 7.049 7.049 Å, 90.00 90.00 90.00°
Space group Im-3m (No. 229)
Inequivalent atoms, fractional coordinates:
U (0.000, 0.250, 0.500)
Ir (0.000, 0.000, 0.000)

Computed, not measured: a relaxed Tb2Sm3TmTe6 crystal at the PBE level of DFT.

Calculated values
Formation energy without anion corrections in eV per atom: -1.33

Cell: 19.221 4.366 8.858 Å, 90.00 103.98 90.00°
Space group C2/m (No. 12)
Inequivalent atoms, fractional coordinates:
Tb (0.169, 0.000, 0.336)
Sm (0.000, 0.500, 0.500)
Sm (0.169, 0.000, 0.834)
Tm (0.000, 0.500, 0.000)
Te (0.001, 0.000, 0.242)
Te (0.162, 0.500, 0.085)
Te (0.167, 0.500, 0.580)

Number 1: D(E_F) 51.1 states/eV per cell, total moment 2.42 μB per formula unit, total energy -9.48 eV per atom. Number 2: D(E_F) 12.7 states/eV per cell, total moment 0.00 μB per formula unit, total energy -5.22 eV per atom.